Density functional theory data (GGA-PBE) for a relaxed structure of Dy3Tm4Se8.

The structure in CIF format:
```
data_Dy3Tm4Se8
_space_group_name_H-M_alt 'C 1 2/m 1'
_space_group_IT_number 12
_space_group_name_Hall '-C 2y'
_cell_length_a 11.3972
_cell_length_b 11.4009
_cell_length_c 8.0563
_cell_angle_alpha 90.00
_cell_angle_beta 134.94
_cell_angle_gamma 90.00
loop_
_atom_site_label
_atom_site_type_symbol
_atom_site_fract_x
_atom_site_fract_y
_atom_site_fract_z
Dy1 Dy 0.0000 0.0000 0.0000
Dy2 Dy 0.2500 0.2500 0.0000
Tm1 Tm 0.0000 0.5000 0.0000
Tm2 Tm 0.0000 0.5000 0.5000
Tm3 Tm 0.2500 0.2500 0.5000
Se1 Se 0.0000 0.2478 0.5000
Se2 Se 0.0000 0.2517 0.0000
Se3 Se 0.2494 0.0000 0.5034
Se4 Se 0.2497 0.0000 0.9960
```

Density functional theory data (GGA-PBE) for a relaxed structure of Dy2TmSe.

The structure in CIF format:
```
data_Dy2TmSe
_space_group_name_H-M_alt 'R 3 m'
_space_group_IT_number 160
_space_group_name_Hall 'R 3 -2"'
_cell_length_a 3.7795
_cell_length_b 3.7795
_cell_length_c 27.9844
_cell_angle_alpha 90.00
_cell_angle_beta 90.00
_cell_angle_gamma 120.00
loop_
_atom_site_label
_atom_site_type_symbol
_atom_site_fract_x
_atom_site_fract_y
_atom_site_fract_z
Dy1 Dy 0.0000 0.0000 0.0000
Dy2 Dy 0.0000 0.0000 0.2003
Tm1 Tm 0.0000 0.0000 0.4329
Se1 Se 0.0000 0.0000 0.6000
```

- distance to the lowest polymorph of the same formula (meV per atom) = 0

Density functional theory data (GGA-PBE) for a relaxed structure of Dy2Tm3Se6.

The structure in CIF format:
```
data_Dy2Tm3Se6
_space_group_name_H-M_alt 'C 1 2/m 1'
_space_group_IT_number 12
_space_group_name_Hall '-C 2y'
_cell_length_a 6.9859
_cell_length_b 12.0381
_cell_length_c 6.9698
_cell_angle_alpha 90.00
_cell_angle_beta 109.47
_cell_angle_gamma 90.00
loop_
_atom_site_label
_atom_site_type_symbol
_atom_site_fract_x
_atom_site_fract_y
_atom_site_fract_z
Dy1 Dy 0.0000 0.1648 0.0000
Tm1 Tm 0.0000 0.0000 0.5000
Tm2 Tm 0.0000 0.3340 0.5000
Se1 Se 0.2430 0.5000 0.7512
Se2 Se 0.2475 0.3361 0.2515
```

- distance to the lowest polymorph of the same formula (meV per atom) = 0

Density functional theory data (GGA-PBE) for a relaxed structure of Dy4Tm3Se8.

The structure in CIF format:
```
data_Dy4Tm3Se8
_space_group_name_H-M_alt 'C 1 2/m 1'
_space_group_IT_number 12
_space_group_name_Hall '-C 2y'
_cell_length_a 11.4045
_cell_length_b 11.4088
_cell_length_c 8.0643
_cell_angle_alpha 90.00
_cell_angle_beta 134.96
_cell_angle_gamma 90.00
loop_
_atom_site_label
_atom_site_type_symbol
_atom_site_fract_x
_atom_site_fract_y
_atom_site_fract_z
Dy1 Dy 0.0000 0.0000 0.0000
Dy2 Dy 0.0000 0.5000 0.5000
Dy3 Dy 0.2500 0.2500 0.0000
Tm1 Tm 0.0000 0.5000 0.0000
Tm2 Tm 0.2500 0.2500 0.5000
Se1 Se 0.0000 0.2451 0.5000
Se2 Se 0.0000 0.2517 0.0000
Se3 Se 0.2468 0.0000 0.5035
Se4 Se 0.2470 0.0000 0.9905
```

Number 1: final energy -5.77 eV per atom, formation energy without anion corrections -26.95 eV per formula unit. Number 2: final energy -5.09 eV per atom, formation energy without anion corrections -3.21 eV per formula unit. Number 3: final energy -5.79 eV per atom, formation energy without anion corrections -20.16 eV per formula unit. Number 4: final energy -5.78 eV per atom, formation energy without anion corrections -27.03 eV per formula unit.